No. 1
Material: RbNaTeI2
Method: DFT, SCAN
State: single point on PBEsol structure

**Fermi-level density of states**: 2.41 states/eV/cell
**Raw formation energy**: -0.72 eV per atom
**Theoretical density**: 3.925 g/cm³
**E**: -139.309 eV per cell
**Magnetization**: 0.402 μB/atom

Cell: 6.008 6.008 5.742 Å, 90.00 90.00 90.00°
Element x y z (fractional)
Rb 0.000 0.000 0.000
Na 0.500 0.500 0.500
Te 0.500 0.500 0.000
I 0.000 0.500 0.500
I 0.500 0.000 0.500

No. 2
Material: NaSbRuI2
Method: DFT, SCAN
State: single point on PBEsol structure

**Fermi-level density of states**: 2.13 states/eV/cell
**Raw formation energy**: -0.04 eV per atom
**Theoretical density**: 5.334 g/cm³
**E**: -149.980 eV per cell
**Magnetization**: 0.000 μB/atom

Cell: 5.641 5.641 4.889 Å, 90.00 90.00 90.00°
Element x y z (fractional)
Na 0.000 0.000 0.000
Sb 0.500 0.500 0.000
Ru 0.500 0.500 0.500
I 0.000 0.500 0.500
I 0.500 0.000 0.500

No. 3
Material: NaTcRu2I
Method: DFT, SCAN
State: single point on PBEsol structure

**Fermi-level density of states**: 2.65 states/eV/cell
**Raw formation energy**: 1.12 eV per atom
**Theoretical density**: 6.474 g/cm³
**E**: -140.091 eV per cell
**Magnetization**: 0.435 μB/atom

Cell: 4.584 4.584 5.494 Å, 90.00 90.00 90.00°
Element x y z (fractional)
Na 0.000 0.000 0.000
Tc 0.500 0.500 0.500
Ru 0.000 0.500 0.500
Ru 0.500 0.000 0.500
I 0.500 0.500 0.000

No. 4
Material: NaS2I
Method: DFT, SCAN
State: single point on PBEsol structure

**Fermi-level density of states**: 4.31 states/eV/cell
**Raw formation energy**: 0.35 eV per atom
**Theoretical density**: 4.170 g/cm³
**E**: -58.824 eV per cell
**Magnetization**: 0.001 μB/atom

Cell: 4.940 4.940 4.940 Å, 60.00 60.00 60.00°
Element x y z (fractional)
Na 0.000 0.000 0.000
S 0.250 0.250 0.250
S 0.750 0.750 0.750
I 0.500 0.500 0.500

No. 5
Material: Na3SI
Method: DFT, SCAN
State: single point on PBEsol structure

**Fermi-level density of states**: 0.00 states/eV/cell
**Raw formation energy**: -1.28 eV per atom
**Theoretical density**: 2.611 g/cm³
**E**: -65.392 eV per cell
**Magnetization**: 0.001 μB/atom

Cell: 5.253 5.253 5.253 Å, 90.00 90.00 90.00°
Element x y z (fractional)
Na 0.000 0.000 0.500
Na 0.000 0.500 0.000
Na 0.500 0.000 0.000
S 0.000 0.000 0.000
I 0.500 0.500 0.500

No. 6
Material: NaSiSbI2
Method: DFT, SCAN
State: single point on PBEsol structure

**Fermi-level density of states**: 2.65 states/eV/cell
**Raw formation energy**: 0.04 eV per atom
**Theoretical density**: 4.183 g/cm³
**E**: -124.763 eV per cell
**Magnetization**: 0.250 μB/atom

Cell: 5.694 5.694 5.223 Å, 90.00 90.00 90.00°
Element x y z (fractional)
Na 0.000 0.000 0.000
Si 0.500 0.500 0.500
Sb 0.500 0.500 0.000
I 0.000 0.500 0.500
I 0.500 0.000 0.500

No. 7
Material: NaTaSb2I
Method: DFT, SCAN
State: single point on PBEsol structure

**Fermi-level density of states**: 4.58 states/eV/cell
**Raw formation energy**: 1.50 eV per atom
**Theoretical density**: 6.676 g/cm³
**E**: -174.551 eV per cell
**Magnetization**: 0.441 μB/atom

Cell: 5.168 5.168 5.349 Å, 90.00 90.00 90.00°
Element x y z (fractional)
Na 0.000 0.000 0.000
Ta 0.500 0.500 0.500
Sb 0.000 0.500 0.000
Sb 0.500 0.000 0.000
I 0.000 0.000 0.500

No. 8
Material: NaTlSb2I
Method: DFT, SCAN
State: single point on PBEsol structure

**Fermi-level density of states**: 3.36 states/eV/cell
**Raw formation energy**: 0.27 eV per atom
**Theoretical density**: 4.826 g/cm³
**E**: -186.497 eV per cell
**Magnetization**: 0.321 μB/atom

Cell: 5.623 5.623 6.505 Å, 90.00 90.00 90.00°
Element x y z (fractional)
Na 0.000 0.000 0.000
Tl 0.500 0.500 0.500
Sb 0.000 0.500 0.500
Sb 0.500 0.000 0.500
I 0.500 0.500 0.000

No. 9
Material: NaSbWI2
Method: DFT, SCAN
State: single point on PBEsol structure

**Fermi-level density of states**: 1.29 states/eV/cell
**Raw formation energy**: 0.31 eV per atom
**Theoretical density**: 5.758 g/cm³
**E**: -183.076 eV per cell
**Magnetization**: 0.394 μB/atom

Cell: 5.704 5.704 5.163 Å, 90.00 90.00 90.00°
Element x y z (fractional)
Na 0.000 0.000 0.000
Sb 0.500 0.500 0.000
W 0.500 0.500 0.500
I 0.000 0.500 0.500
I 0.500 0.000 0.500

No. 10
Material: NaZrSb2I
Method: DFT, SCAN
State: single point on PBEsol structure

**Fermi-level density of states**: 3.96 states/eV/cell
**Raw formation energy**: 0.76 eV per atom
**Theoretical density**: 5.494 g/cm³
**E**: -142.372 eV per cell
**Magnetization**: 0.196 μB/atom

Cell: 5.192 5.192 5.434 Å, 90.00 90.00 90.00°
Element x y z (fractional)
Na 0.000 0.000 0.000
Zr 0.500 0.500 0.500
Sb 0.000 0.500 0.000
Sb 0.500 0.000 0.000
I 0.000 0.000 0.500

No. 11
Material: Na3ScI
Method: DFT, SCAN
State: single point on PBEsol structure

**Fermi-level density of states**: 2.89 states/eV/cell
**Raw formation energy**: 0.50 eV per atom
**Theoretical density**: 1.596 g/cm³
**E**: -61.129 eV per cell
**Magnetization**: 0.577 μB/atom

Cell: 6.304 6.304 6.304 Å, 90.00 90.00 90.00°
Element x y z (fractional)
Na 0.000 0.000 0.500
Na 0.000 0.500 0.000
Na 0.500 0.000 0.000
Sc 0.000 0.000 0.000
I 0.500 0.500 0.500

No. 12
Material: Na3SeI
Method: DFT, SCAN
State: single point on PBEsol structure

**Fermi-level density of states**: 0.00 states/eV/cell
**Raw formation energy**: -1.22 eV per atom
**Theoretical density**: 2.842 g/cm³
**E**: -75.582 eV per cell
**Magnetization**: 0.000 μB/atom

Cell: 5.436 5.436 5.436 Å, 90.00 90.00 90.00°
Element x y z (fractional)
Na 0.000 0.000 0.500
Na 0.000 0.500 0.000
Na 0.500 0.000 0.000
Se 0.000 0.000 0.000
I 0.500 0.500 0.500

No. 13
Material: NaSe2I
Method: DFT, SCAN
State: single point on PBEsol structure

**Fermi-level density of states**: 0.99 states/eV/cell
**Raw formation energy**: -0.08 eV per atom
**Theoretical density**: 4.175 g/cm³
**E**: -81.415 eV per cell
**Magnetization**: 0.000 μB/atom

Cell: 5.935 5.935 5.935 Å, 52.68 52.68 52.68°
Element x y z (fractional)
Na 0.000 0.000 0.000
Se 0.181 0.181 0.181
Se 0.819 0.819 0.819
I 0.500 0.500 0.500

No. 14
Material: NaSe2I2
Method: DFT, SCAN
State: single point on PBEsol structure

**Fermi-level density of states**: 2.89 states/eV/cell
**Raw formation energy**: -0.21 eV per atom
**Theoretical density**: 5.130 g/cm³
**E**: -118.888 eV per cell
**Magnetization**: 0.000 μB/atom

Cell: 9.714 9.714 9.714 Å, 156.92 156.92 32.86°
Element x y z (fractional)
Na 0.000 0.000 0.000
Se 0.250 0.750 0.500
Se 0.750 0.250 0.500
I 0.413 0.413 0.000
I 0.587 0.587 0.000

No. 15
Material: NaTe2SeI
Method: DFT, SCAN
State: single point on PBEsol structure

**Fermi-level density of states**: 4.15 states/eV/cell
**Raw formation energy**: -0.05 eV per atom
**Theoretical density**: 4.701 g/cm³
**E**: -135.788 eV per cell
**Magnetization**: 0.000 μB/atom

Cell: 5.501 5.501 5.651 Å, 90.00 90.00 90.00°
Element x y z (fractional)
Na 0.000 0.000 0.000
Te 0.000 0.500 0.500
Te 0.500 0.000 0.500
Se 0.500 0.500 0.500
I 0.500 0.500 0.000

No. 16
Material: NaSiI2
Method: DFT, SCAN
State: single point on PBEsol structure

**Fermi-level density of states**: 1.82 states/eV/cell
**Raw formation energy**: 0.04 eV per atom
**Theoretical density**: 4.581 g/cm³
**E**: -87.553 eV per cell
**Magnetization**: 0.000 μB/atom

Cell: 5.387 5.387 5.387 Å, 60.00 60.00 60.00°
Element x y z (fractional)
Na 0.000 0.000 0.000
Si 0.500 0.500 0.500
I 0.250 0.250 0.250
I 0.750 0.750 0.750

No. 17
Material: NaZnSn2I
Method: DFT, SCAN
State: single point on PBEsol structure

**Fermi-level density of states**: 3.77 states/eV/cell
**Raw formation energy**: 0.08 eV per atom
**Theoretical density**: 4.597 g/cm³
**E**: -125.927 eV per cell
**Magnetization**: 0.000 μB/atom

Cell: 5.083 5.083 6.328 Å, 90.00 90.00 90.00°
Element x y z (fractional)
Na 0.000 0.000 0.000
Zn 0.500 0.500 0.500
Sn 0.000 0.500 0.500
Sn 0.500 0.000 0.500
I 0.500 0.500 0.000

No. 18
Material: NaSrTeI2
Method: DFT, SCAN
State: single point on PBEsol structure

**Fermi-level density of states**: 2.02 states/eV/cell
**Raw formation energy**: -0.92 eV per atom
**Theoretical density**: 4.447 g/cm³
**E**: -141.838 eV per cell
**Magnetization**: 0.198 μB/atom

Cell: 5.643 5.643 5.769 Å, 90.00 90.00 90.00°
Element x y z (fractional)
Na 0.000 0.000 0.000
Sr 0.500 0.500 0.500
Te 0.000 0.000 0.500
I 0.000 0.500 0.000
I 0.500 0.000 0.000

No. 19
Material: NaTcTe2I
Method: DFT, SCAN
State: single point on PBEsol structure

**Fermi-level density of states**: 3.86 states/eV/cell
**Raw formation energy**: 0.01 eV per atom
**Theoretical density**: 5.391 g/cm³
**E**: -150.456 eV per cell
**Magnetization**: 0.001 μB/atom

Cell: 5.097 5.097 5.964 Å, 90.00 90.00 90.00°
Element x y z (fractional)
Na 0.000 0.000 0.000
Tc 0.500 0.500 0.500
Te 0.000 0.500 0.500
Te 0.500 0.000 0.500
I 0.500 0.500 0.000

No. 20
Material: NaTe2I2
Method: DFT, SCAN
State: single point on PBEsol structure

**Fermi-level density of states**: 4.10 states/eV/cell
**Raw formation energy**: -0.19 eV per atom
**Theoretical density**: 5.234 g/cm³
**E**: -306.333 eV per cell
**Magnetization**: 0.000 μB/atom

Cell: 8.156 8.156 5.075 Å, 90.00 90.00 90.00°
Element x y z (fractional)
Na 0.000 0.000 0.000
Na 0.500 0.500 0.000
Te 0.121 0.379 0.000
Te 0.379 0.879 0.000
Te 0.621 0.121 0.000
Te 0.879 0.621 0.000
I 0.207 0.707 0.500
I 0.293 0.207 0.500
I 0.707 0.793 0.500
I 0.793 0.293 0.500